This record from Alexandria describes a geometry-optimized ZrTa2Te2 structure. The functional is GGA-PBE.

```
10
Lattice="7.938 0.000 0.000 0.000 7.938 0.000 0.000 0.000 3.409" Properties=species:S:1:pos:R:3 pbc="T T T"
Zr 0.000 0.000 0.000
Zr 3.969 3.969 0.000
Ta 1.090 2.879 0.000
Ta 2.879 6.848 0.000
Ta 5.058 1.090 0.000
Ta 6.848 5.058 0.000
Te 1.272 5.241 1.705
Te 2.697 1.272 1.705
Te 5.241 6.666 1.705
Te 6.666 2.697 1.705
```

Summary:
Formation energy without anion corrections ... 0.2656 eV per atom
Total magnetization ... 0.000 μB/f.u.
Space-group type ... P4/mbm (127)
Excess energy over the best structure of this formula in the dataset ... 0.0 kJ per mole of atoms